[1]
## CsK2Ho (PBE-GGA)

Data for a geometry-optimized CsK2Ho structure.

Geometry as POSCAR:
```
CsK2Ho
1.0
4.017 0.000 0.000
2.008 3.478 0.000
2.008 1.159 16.384
Cs K Ho
1 2 1
direct
0.500 0.500 0.500
0.077 0.077 0.769
0.923 0.923 0.231
0.000 0.000 0.000
```

Properties
DOS at the Fermi energy, states/eV per atom: 1.756
ΔH_f (0 K), meV per atom: 536.7
Raw total energy, eV/atom: -1.37

---

[2]
## CsK2HoP2O8 (PBE-GGA)

Data for a geometry-optimized CsK2HoP2O8 structure.

Geometry as POSCAR:
```
CsK2HoP2O8
1.0
-4.185 3.689 1.180
0.508 -4.801 3.034
4.855 3.829 5.245
Cs K Ho P O
1 2 1 2 8
direct
0.000 0.000 0.500
0.333 0.667 0.251
0.667 0.333 0.749
0.000 0.000 0.000
0.667 0.333 0.229
0.333 0.667 0.771
0.815 0.185 0.161
0.333 0.667 0.583
0.667 0.333 0.417
0.370 0.185 0.161
0.185 0.370 0.839
0.185 0.815 0.839
0.630 0.815 0.839
0.815 0.630 0.161
```

Properties
E_form (uncorrected), eV/atom: -2.60
DOS at the Fermi energy, states/eV per atom: 0.000
Raw total energy, eV/atom: -6.75

---

[3]
## Cs2LaHoO4 (PBE-GGA)

Data for a geometry-optimized Cs2LaHoO4 structure.

Geometry as POSCAR:
```
Cs2LaHoO4
1.0
3.661 0.000 0.000
0.000 6.343 0.098
0.000 -2.222 6.883
Cs La Ho O
2 1 1 4
direct
0.500 0.000 0.500
0.000 0.500 0.500
0.500 0.500 0.000
0.000 0.000 0.000
0.500 0.210 0.166
0.500 0.790 0.834
0.000 0.263 0.834
0.000 0.737 0.166
```

Properties
E_form (uncorrected), eV/atom: -2.59
DOS at the Fermi energy, states/eV per atom: 0.000
Raw total energy, eV/atom: -6.47

---

[4]
## Cs3La2HoS6 (PBE-GGA)

Data for a geometry-optimized Cs3La2HoS6 structure.

Geometry as POSCAR:
```
Cs3La2HoS6
1.0
7.384 -0.001 0.000
-3.691 6.395 0.000
-1.231 -2.132 8.072
Cs La Ho S
3 2 1 6
direct
0.168 0.832 0.500
0.832 0.168 0.500
0.500 0.500 0.500
0.333 0.667 0.000
0.667 0.333 0.000
0.000 0.000 0.000
0.939 0.618 0.816
0.741 0.741 0.185
0.061 0.382 0.184
0.618 0.939 0.816
0.259 0.259 0.815
0.382 0.061 0.184
```

Properties
E_form (uncorrected), eV/atom: -1.86
DOS at the Fermi energy, states/eV per atom: 0.000
Raw total energy, eV/atom: -5.34

---

[5]
## Cs3LaHo2S6 (PBE-GGA)

Data for a geometry-optimized Cs3LaHo2S6 structure.

Geometry as POSCAR:
```
Cs3LaHo2S6
1.0
7.232 -0.001 0.000
-3.615 6.264 0.000
-1.206 -2.089 8.069
Cs La Ho S
3 1 2 6
direct
0.165 0.835 0.500
0.835 0.165 0.500
0.500 0.500 0.500
0.000 0.000 0.000
0.333 0.667 0.000
0.667 0.333 0.000
0.939 0.592 0.817
0.714 0.714 0.182
0.061 0.408 0.183
0.592 0.939 0.817
0.286 0.286 0.818
0.408 0.061 0.183
```

Properties
E_form (uncorrected), eV/atom: -1.84
DOS at the Fermi energy, states/eV per atom: 0.000
Raw total energy, eV/atom: -5.30

---

[6]
## Cs3La2HoSe6 (PBE-GGA)

Data for a geometry-optimized Cs3La2HoSe6 structure.

Geometry as POSCAR:
```
Cs3La2HoSe6
1.0
7.648 -0.001 0.000
-3.823 6.624 0.000
-1.276 -2.209 8.381
Cs La Ho Se
3 2 1 6
direct
0.169 0.831 0.500
0.831 0.169 0.500
0.500 0.500 0.500
0.333 0.667 0.000
0.667 0.333 0.000
0.000 0.000 0.000
0.937 0.616 0.812
0.742 0.742 0.189
0.063 0.384 0.188
0.616 0.937 0.812
0.258 0.258 0.811
0.384 0.063 0.188
```

Properties
E_form (uncorrected), eV/atom: -1.78
DOS at the Fermi energy, states/eV per atom: 0.000
Raw total energy, eV/atom: -4.94